An optimized crystal structure of SnRu. Source: the Alexandria database, functional PBE-GGA.

a b c (Å): 6.8930 6.8930 6.8930
angles (deg): 94.89 94.89 146.06
Fractional positions:
Sn: 0.1274 0.7892 0.9165
Sn: 0.2108 0.1274 0.3382
Sn: 0.7892 0.8726 0.6618
Sn: 0.8726 0.2108 0.0835
Ru: 0.0893 0.3931 0.4824
Ru: 0.3931 0.9107 0.3039
Ru: 0.6069 0.0893 0.6961
Ru: 0.9107 0.6069 0.5176

Summary:
- V (Å³/f.u.) = 43.7
- magnetic moment (μB/f.u.) = 0.0
- energy relative to the elements (meV per atom) = 152